1.
Cs2NaHg2 after structural relaxation, computed with GGA-PBEsol.

a = 6.829 Å, b = 6.829 Å, c = 6.829 Å
α = 96.14°, β = 116.52°, γ = 116.52°
Element x y z (fractional)
Cs 0.500 0.250 0.750
Hg 0.000 0.343 0.343
Na 0.000 0.000 0.000
Hg 0.000 0.657 0.657
Cs 0.500 0.750 0.250

Values from the calculation:
* energy above the most stable polymorph in this dataset: 31 kJ/mol of formula units
* M_tot: 0.0 μB/cell
* crystal system: tetragonal

---

2.
CsNa3Hg after structural relaxation, computed with GGA-PBEsol.

a = 6.010 Å, b = 6.010 Å, c = 6.010 Å
α = 90.00°, β = 90.00°, γ = 90.00°
Element x y z (fractional)
Cs 0.500 0.500 0.500
Hg 0.000 0.000 0.000
Na 0.000 0.500 0.000
Na 0.500 0.000 0.000
Na 0.000 0.000 0.500

Values from the calculation:
* M_tot: 0.0 μB/cell
* crystal system: cubic

---

3.
CsNa2Hg2 after structural relaxation, computed with GGA-PBEsol.

a = 5.621 Å, b = 5.621 Å, c = 6.975 Å
α = 113.76°, β = 113.76°, γ = 90.00°
Element x y z (fractional)
Hg 0.750 0.250 0.500
Cs 0.000 0.000 0.000
Na 0.647 0.647 0.295
Na 0.353 0.353 0.705
Hg 0.250 0.750 0.500

Values from the calculation:
* energy above the most stable polymorph in this dataset: 13 kJ/mol of formula units
* M_tot: 0.0 μB/cell
* crystal system: tetragonal

---

4.
Cs2HgOsO after structural relaxation, computed with GGA-PBEsol.

a = 4.121 Å, b = 6.786 Å, c = 6.786 Å
α = 90.00°, β = 90.00°, γ = 90.00°
Site moments in Bohr magnetons follow the coordinates.
Element x y z (fractional)
Cs 0.000 0.000 0.500  0.00
Os 0.500 0.500 0.500  2.44
O 0.500 0.000 0.000  0.00
Hg 0.000 0.000 0.000  0.00
Cs 0.000 0.500 0.000  0.00

Values from the calculation:
* M_tot: 2.8 μB/cell
* crystal system: tetragonal
* energy relative to the elements, uncorrected: 1076 meV/atom

---

5.
CsHgP2O after structural relaxation, computed with GGA-PBEsol.

a = 4.258 Å, b = 5.524 Å, c = 5.524 Å
α = 90.00°, β = 90.00°, γ = 90.00°
Site moments in Bohr magnetons follow the coordinates.
Element x y z (fractional)
P 0.000 0.000 0.500  0.24
P 0.000 0.500 0.000  0.24
O 0.500 0.000 0.000  0.07
Cs 0.000 0.000 0.000  0.01
Hg 0.500 0.500 0.500  0.00

Values from the calculation:
* M_tot: 1.2 μB/cell
* crystal system: tetragonal
* energy relative to the elements, uncorrected: 1483 meV/atom

---

6.
CsHgOs3 after structural relaxation, computed with GGA-PBEsol.

a = 4.886 Å, b = 4.886 Å, c = 4.886 Å
α = 90.00°, β = 90.00°, γ = 90.00°
Site moments in Bohr magnetons follow the coordinates.
Element x y z (fractional)
Cs 0.000 0.000 0.000  0.02
Os 0.500 0.000 0.000  0.94
Os 0.000 0.000 0.500  0.94
Hg 0.500 0.500 0.500  -0.01
Os 0.000 0.500 0.000  0.94

Values from the calculation:
* M_tot: 3.0 μB/cell
* crystal system: cubic

---

Number 1: DFT total energy -4.91 eV for the cell shown. Number 2: DFT total energy -6.01 eV for the cell shown. Number 3: DFT total energy -5.46 eV for the cell shown. Number 4: DFT total energy -14.53 eV for the cell shown. Number 5: DFT total energy -10.93 eV for the cell shown. Number 6: DFT total energy -18.23 eV for the cell shown.